P | Here is a geometry-optimized TeW2 structure from the Alexandria database. Energies are from PBE-GGA.

Calculated values
Space group: P6_3/mmc
V: 18.10 Å³/atom

abc: 4.8192 4.8192 5.3987
angles: 90.00 90.00 120.00
Positions (direct):
W1 0.3333 0.6667 0.7500
W2 0.6667 0.3333 0.2500
W3 0.0000 0.0000 0.5000
Te1 0.6667 0.3333 0.7500
Te2 0.3333 0.6667 0.2500
W4 0.0000 0.0000 0.0000



Q | Here is a geometry-optimized TeW2 structure from the Alexandria database. Energies are from PBE-GGA.

Calculated values
Space group: Pa-3
V: 21.84 Å³/atom

abc: 6.3992 6.3992 6.3992
angles: 90.00 90.00 90.00
Positions (direct):
W1 0.3913 0.3913 0.6086
Te1 0.0000 0.5000 0.5000
Te2 0.5000 0.0000 0.5000
Te3 0.0000 0.0000 0.0000
W2 0.6086 0.8914 0.8914
W3 0.8914 0.1086 0.3913
W4 0.1086 0.8914 0.6086
Te4 0.5000 0.5000 0.0000
W5 0.6086 0.6086 0.3913
W6 0.3913 0.1086 0.1086
W7 0.1086 0.6086 0.1086
W8 0.8914 0.3913 0.8914



R | Here is a geometry-optimized TeW2 structure from the Alexandria database. Energies are from PBE-GGA.

Calculated values
Space group: Immm
V: 18.10 Å³/atom

abc: 4.8348 4.8348 4.8348
angles: 142.35 127.02 66.80
Positions (direct):
W1 0.6679 0.6679 0.0000
Te1 0.0000 0.0000 0.0000
W2 0.3321 0.3321 0.0000



S | Here is a geometry-optimized TeW2 structure from the Alexandria database. Energies are from PBE-GGA.

Calculated values
Space group: C2/m
V: 18.32 Å³/atom

abc: 5.8226 5.8226 6.1749
angles: 78.39 78.39 32.47
Positions (direct):
W1 0.6848 0.6848 0.3689
W2 0.9707 0.9707 0.3150
W3 0.3152 0.3152 0.6311
W4 0.0293 0.0293 0.6850
Te1 0.6456 0.6456 0.9286
Te2 0.3544 0.3544 0.0714



So which one is most stable? That would be S, about 0.289 eV/atom below the next structure.